# 1
11
Lattice="3.0717 1.7735 5.4503 -3.0717 1.7735 5.4503 0.0000 -3.5469 5.4503" Properties=species:S:1:pos:R:3 comment="Ba2CuAg2O6 (GGA-PBE, relaxed)" formation_energy_uncorrected_ev_per_atom=-0.90 pbc="T T T"
Ba 0.0000 0.0000 3.5536
Ba 0.0000 0.0000 12.7974
Cu 0.0000 0.0000 0.0000
Ag 0.0000 0.0000 6.7603
Ag 0.0000 0.0000 9.5907
O -1.7781 -1.0266 9.5933
O 0.0000 -2.0532 6.7577
O -1.7781 1.0266 6.7577
O 1.7781 -1.0266 9.5933
O 0.0000 2.0532 9.5933
O 1.7781 1.0266 6.7577


# 2
11
Lattice="5.5206 -3.5021 0.0000 5.5206 3.5021 0.0000 -5.3923 0.0000 9.3037" Properties=species:S:1:pos:R:3 comment="Y8Ho2Pu (GGA-PBE, relaxed)" formation_energy_ev_per_fu=1.74 pbc="T T T"
Y 1.4145 1.7665 6.7741
Y 4.2345 1.7665 2.5296
Y -1.6263 0.0000 8.7991
Y 1.5173 0.0000 3.4893
Y 4.1317 0.0000 5.8144
Y 7.2752 0.0000 0.5046
Y 1.4145 -1.7665 6.7741
Y 4.2345 -1.7665 2.5296
Ho -1.2487 0.0000 5.4601
Ho 6.8976 0.0000 3.8436
Pu 0.0000 0.0000 0.0000


# 3
14
Lattice="4.1904 2.4193 6.9815 -4.1904 2.4193 6.9815 0.0000 -4.8387 6.9815" Properties=species:S:1:pos:R:3 comment="CaCeTm4Se8 (GGA-PBE, relaxed)" formation_energy_uncorrected_ev_per_atom=-1.76 pbc="T T T"
Ca 0.0000 0.0000 0.0000
Ce 0.0000 0.0000 13.1410
Tm -2.1261 -1.2275 9.6160
Tm 0.0000 0.0000 5.2863
Tm 2.1261 -1.2275 9.6160
Tm 0.0000 2.4550 9.6160
Se 0.0000 -2.3354 11.2336
Se -2.0225 1.1677 11.2336
Se 0.0000 0.0000 8.0513
Se -1.9604 -1.1318 15.0309
Se 2.0225 1.1677 11.2336
Se 0.0000 0.0000 18.1267
Se 1.9604 -1.1318 15.0309
Se 0.0000 2.2636 15.0309


# 4
20
Lattice="2.0425 -12.2633 0.0000 2.0425 12.2633 0.0000 0.0000 0.0000 6.2936" Properties=species:S:1:pos:R:3 comment="Np2Si3Ru5 (GGA-PBE, relaxed)" formation_energy_uncorrected_ev_per_atom=-0.42 pbc="T T T"
Np 2.0425 12.0078 3.1468
Np 2.0425 4.2585 3.0373
Np 2.0425 -4.2585 6.1841
Np 2.0425 -12.0078 0.0000
Si 2.0425 9.5648 4.5422
Si 2.0425 5.5713 6.1622
Si 2.0425 1.3476 4.5763
Si 2.0425 -1.3476 1.4295
Si 2.0425 -5.5713 3.0154
Si 2.0425 -9.5648 1.3954
Ru 2.0425 9.7183 0.8810
Ru 2.0425 7.1948 1.6715
Ru 2.0425 7.1648 4.3403
Ru 2.0425 3.1869 6.2069
Ru 2.0425 1.3018 2.0950
Ru 2.0425 -1.3018 5.2418
Ru 2.0425 -3.1869 3.0600
Ru 2.0425 -7.1648 1.1934
Ru 2.0425 -7.1948 4.8183
Ru 2.0425 -9.7183 4.0278


# 5
13
Lattice="4.8770 -6.8126 0.0000 4.8770 6.8126 0.0000 0.0000 0.0000 4.7109" Properties=species:S:1:pos:R:3 comment="Sm3Th2S8 (GGA-PBE, relaxed)" formation_energy_uncorrected_ev_per_atom=-1.90 pbc="T T T"
Sm 0.0000 0.0000 0.0000
Sm 2.7563 0.0000 2.3554
Sm 6.9977 0.0000 2.3554
Th 4.8770 3.2945 0.0000
Th 4.8770 -3.2945 0.0000
S 2.3781 1.6997 0.0000
S 4.8770 5.1510 2.3554
S 2.3781 -1.6997 0.0000
S 4.8770 1.7457 2.3554
S 4.8770 -1.7457 2.3554
S 7.3760 1.6997 0.0000
S 4.8770 -5.1510 2.3554
S 7.3760 -1.6997 0.0000


# 6
13
Lattice="7.9164 -4.4953 0.0000 7.9164 4.4953 0.0000 -2.4850 0.0000 7.2855" Properties=species:S:1:pos:R:3 comment="La2Sm3Te8 (GGA-PBE, relaxed)" formation_energy_uncorrected_ev_per_atom=-1.34 pbc="T T T"
La 3.4864 0.0000 1.2033
La 9.8613 0.0000 6.0822
Sm 6.6739 2.3289 3.6427
Sm 7.9164 0.0000 0.0000
Sm 6.6739 -2.3289 3.6427
Te 0.8810 0.0000 3.0415
Te 5.8109 2.1946 0.6390
Te 7.5368 2.1946 6.6465
Te 4.5979 0.0000 4.2485
Te 8.7499 0.0000 3.0370
Te 5.8109 -2.1946 0.6390
Te 7.5368 -2.1946 6.6465
Te 12.4667 0.0000 4.2439


Ρ: 6.058; 5.932; 5.817; 11.204; 6.215; 5.603 (g/cm3)